No. 1
DFT (GGA-PBEsol) results for a relaxed structure of AlIr2Se.

a b c (Å): 2.836 4.234 5.247
angles (deg): 90.00 102.65 90.00
Positions (direct):
Al (0.000, 0.000, 0.000)
Ir (0.375, 0.500, 0.230)
Ir (0.625, 0.500, 0.770)
Se (0.500, 0.000, 0.500)

Size of the total moment (μB per atom): 0.000
Crystal system: monoclinic
ΔE to the lowest computed polymorph (meV/atom): 175
Raw formation energy (kJ/mol of formula units): 11

---

No. 2
DFT (GGA-PBEsol) results for a relaxed structure of Na3CrPCO7.

a b c (Å): 5.227 6.495 9.106
angles (deg): 90.00 91.31 90.00
Positions (direct):
Na (0.213, 0.250, 0.092)
Na (0.252, 0.001, 0.739)
Na (0.252, 0.499, 0.739)
Na (0.748, 0.501, 0.261)
Na (0.748, 0.999, 0.261)
Na (0.787, 0.750, 0.908)
Cr (0.233, 0.750, 0.355)
Cr (0.767, 0.250, 0.645)
P (0.313, 0.250, 0.420)
P (0.687, 0.750, 0.580)
C (0.288, 0.750, 0.053)
C (0.712, 0.250, 0.947)
O (0.095, 0.750, 0.143)
O (0.184, 0.250, 0.569)
O (0.237, 0.060, 0.324)
O (0.237, 0.440, 0.324)
O (0.237, 0.750, 0.913)
O (0.388, 0.750, 0.559)
O (0.481, 0.250, 0.896)
O (0.519, 0.750, 0.104)
O (0.612, 0.250, 0.441)
O (0.763, 0.250, 0.087)
O (0.763, 0.560, 0.676)
O (0.763, 0.940, 0.676)
O (0.816, 0.750, 0.431)
O (0.905, 0.250, 0.857)

Size of the total moment (μB per atom): 0.308
Crystal system: monoclinic
ΔE to the lowest computed polymorph (meV/atom): 0
Raw formation energy (kJ/mol of formula units): -2379

---

Which value of ΔE to the lowest computed polymorph does entry 2 give?
0 meV/atom